1.
Computed, not measured: crystalline HfB2P at its relaxed geometry at the PBE level of DFT.

extended XYZ file:
```
8
Lattice="5.738 0.000 0.000 0.000 5.738 0.000 2.869 2.869 2.984" Properties=species:S:1:pos:R:3 pbc="T T T"
Hf 5.738 2.869 1.492
Hf 0.000 0.000 0.000
B 1.819 4.304 0.746
B 4.304 4.688 2.238
B 7.173 6.788 2.238
B 3.919 1.435 0.746
P 2.869 2.869 0.000
P 2.869 5.738 1.492
```

Computed properties:
- ρ: 7.81 g/cm³
- ΔE_f: -0.034 eV/atom

***

2.
Computed, not measured: crystalline YErTmMg at its relaxed geometry at the PBE level of DFT.

extended XYZ file:
```
4
Lattice="-1.407 0.945 -3.121 1.818 -2.592 -1.604 -7.057 -5.825 1.417" Properties=species:S:1:pos:R:3 pbc="T T T"
Tm -5.113 -6.747 -2.192
Er -0.084 -1.602 -0.881
Mg -1.550 -3.804 -2.910
Y -3.454 -4.383 -0.204
```

Computed properties:
- ρ: 6.39 g/cm³
- ΔE_f: -0.026 eV/atom

***

3.
Computed, not measured: crystalline Fe2CoW at its relaxed geometry at the PBE level of DFT.

extended XYZ file:
```
4
Lattice="2.636 0.000 0.000 0.000 3.549 0.000 0.000 0.000 5.211" Properties=species:S:1:pos:R:3 pbc="T T T"
W 0.000 0.000 2.610
Fe 0.000 0.000 5.208
Fe 1.318 1.774 1.227
Co 1.318 1.774 3.983
```

Computed properties:
- ρ: 12.07 g/cm³
- ΔE_f: 0.114 eV/atom

***

4.
Computed, not measured: crystalline YHo3As4 at its relaxed geometry at the PBE level of DFT.

extended XYZ file:
```
8
Lattice="-0.512 2.682 -5.121 -5.492 1.379 1.272 1.804 4.958 2.416" Properties=species:S:1:pos:R:3 pbc="T T T"
Ho -1.844 3.169 1.844
Ho -3.002 2.030 -1.925
Ho 0.646 3.820 -1.352
As 0.902 2.479 1.208
As -2.746 0.689 0.636
As -2.100 4.510 -0.716
As -0.256 1.341 -2.560
Y 0.000 0.000 0.000
```

Computed properties:
- ρ: 7.51 g/cm³
- ΔE_f: -1.540 eV/atom

***

5.
Computed, not measured: crystalline Pr7Er2Mg2 at its relaxed geometry at the PBE level of DFT.

extended XYZ file:
```
11
Lattice="5.852 5.366 0.875 -5.852 5.366 0.875 0.000 1.351 6.044" Properties=species:S:1:pos:R:3 pbc="T T T"
Pr -3.033 3.688 1.719
Pr 0.000 5.601 5.552
Pr -3.033 8.394 6.075
Pr 0.000 0.000 0.000
Pr 3.033 3.688 1.719
Pr 0.000 6.481 2.242
Pr 3.033 8.394 6.075
Er 0.000 2.791 2.851
Er 0.000 9.292 4.942
Mg 3.274 6.041 3.897
Mg -3.274 6.041 3.897
```

Computed properties:
- ρ: 6.22 g/cm³
- ΔE_f: 0.108 eV/atom

***

6.
Computed, not measured: crystalline BaIn2Fe at its relaxed geometry at the PBE level of DFT.

extended XYZ file:
```
4
Lattice="4.614 -0.022 0.026 2.329 3.983 0.026 2.275 1.298 6.467" Properties=species:S:1:pos:R:3 pbc="T T T"
Ba 6.913 3.944 4.888
In 6.938 3.958 0.869
In 4.614 2.632 2.441
Fe 2.304 1.315 1.629
```

Computed properties:
- ρ: 5.91 g/cm³
- ΔE_f: 0.035 eV/atom

***

7.
Computed, not measured: crystalline Na5Ag3As3 at its relaxed geometry at the PBE level of DFT.

extended XYZ file:
```
11
Lattice="4.805 0.000 0.000 0.000 7.864 -4.540 0.000 0.000 9.081" Properties=species:S:1:pos:R:3 pbc="T T T"
Na 2.402 5.243 0.000
Na 2.402 2.058 1.188
Na 2.402 5.807 -3.352
Na 2.402 0.000 6.705
Na 2.402 2.621 4.540
As 2.402 2.940 -1.697
As 2.402 4.924 2.843
As 2.402 0.000 3.395
Ag 0.000 5.412 3.124
Ag 0.000 2.453 -1.416
Ag 0.000 0.000 2.832
```

Computed properties:
- ρ: 3.21 g/cm³
- ΔE_f: -0.170 eV/atom

***

8.
Computed, not measured: crystalline MgUInHg at its relaxed geometry at the PBE level of DFT.

extended XYZ file:
```
4
Lattice="5.167 0.000 0.000 2.583 4.475 0.000 2.583 1.492 4.219" Properties=species:S:1:pos:R:3 pbc="T T T"
Mg 0.000 0.000 0.000
In 7.750 4.475 3.164
U 5.167 2.983 2.109
Hg 2.583 1.492 1.055
```

Computed properties:
- ρ: 9.84 g/cm³
- ΔE_f: 0.101 eV/atom

***

9.
Computed, not measured: crystalline Pd4SeI5 at its relaxed geometry at the PBE level of DFT.

extended XYZ file:
```
10
Lattice="4.003 0.000 0.000 0.000 7.853 -0.445 -2.002 -1.594 8.618" Properties=species:S:1:pos:R:3 pbc="T T T"
I 0.000 6.125 2.392
I 2.002 4.208 5.513
I 0.000 2.051 2.661
I 2.002 3.926 -0.222
I 2.002 0.134 5.781
Se 2.002 0.000 0.000
Pd 0.000 1.833 -0.074
Pd 0.000 6.073 5.395
Pd 2.002 0.186 2.779
Pd 2.002 4.426 8.248
```

Computed properties:
- ρ: 7.06 g/cm³
- Uncorrected energy: -3.320 eV/atom

***

10.
Computed, not measured: crystalline NpMnGa at its relaxed geometry at the PBE level of DFT.

extended XYZ file:
```
12
Lattice="-3.912 -1.707 -1.872 2.983 -0.756 -5.543 1.919 -6.505 1.920" Properties=species:S:1:pos:R:3 pbc="T T T"
Np 3.330 -7.441 -3.074
Np 2.006 -4.096 -3.357
Np -2.340 -1.527 -2.421
Np -1.016 -4.871 -2.137
Mn 0.771 -1.651 -3.007
Mn 3.204 -5.277 -4.785
Mn -2.214 -3.691 -0.710
Mn 0.219 -7.317 -2.487
Ga 1.603 -5.851 -0.915
Ga -0.613 -3.117 -4.580
Ga 0.016 -2.440 -0.709
Ga 0.975 -6.528 -4.786
```

Computed properties:
- ρ: 11.54 g/cm³
- ΔE_f: -0.092 eV/atom

***

11.
Computed, not measured: crystalline BaAlWS at its relaxed geometry at the PBE level of DFT.

extended XYZ file:
```
4
Lattice="6.009 0.000 0.007 0.000 3.245 0.000 -0.272 0.000 6.063" Properties=species:S:1:pos:R:3 pbc="T T T"
Ba 4.216 1.622 1.682
S 1.207 1.622 3.245
Al 0.971 1.622 5.544
W 1.206 0.000 1.517
```

Computed properties:
- ρ: 5.34 g/cm³
- Uncorrected energy: -5.605 eV/atom

***

12.
Computed, not measured: crystalline RbPdO2 at its relaxed geometry at the PBE level of DFT.

extended XYZ file:
```
4
Lattice="4.285 -1.065 0.051 1.243 -4.184 -0.671 2.041 -1.123 -3.752" Properties=species:S:1:pos:R:3 pbc="T T T"
Pd 3.785 -3.186 -2.186
O 1.892 -1.593 -1.093
O 5.677 -4.779 -3.279
Rb 0.000 0.000 0.000
```

Computed properties:
- ρ: 6.10 g/cm³
- Uncorrected energy: -3.791 eV/atom